1.
## Ba3NiI2 (GGA-PBE)

Data for crystalline Ba3NiI2 at its relaxed geometry.

Results
Total energy = -79.2 eV for the cell shown
SG = Fddd, No. 70
Total magnetic moment = 0.00 μB per cell
Crystal system = orthorhombic
Energy relative to the elements, uncorrected = -0.859 eV per atom

Cell: 15.7478 14.9961 8.6818 Å, 78.42 68.89 32.69°
Last column: nearest neighbours and their distance in Å.
Fractional positions:
Ba 0.0430 0.5225 0.1753  2 Ni 3.11-3.31
Ba 0.0741 0.6759 0.6759  2 Ni 3.12
Ba 0.1753 0.7592 0.0430  2 Ni 3.11-3.31
Ba 0.2408 0.8247 0.4775  2 Ni 3.11-3.31
Ba 0.3241 0.9259 0.9259  2 Ni 3.12
Ba 0.4775 0.9570 0.2408  2 Ni 3.11-3.31
Ba 0.5225 0.0430 0.7592  2 Ni 3.11-3.31
Ba 0.6759 0.0741 0.0741  2 Ni 3.12
Ba 0.7592 0.1753 0.5225  2 Ni 3.11-3.31
Ba 0.8247 0.2408 0.9570  2 Ni 3.11-3.31
Ba 0.9259 0.3241 0.3241  2 Ni 3.12
Ba 0.9570 0.4775 0.8247  2 Ni 3.11-3.31
Ni 0.0414 0.0414 0.2086  6 Ba 3.11-3.31
Ni 0.2086 0.2086 0.0414  6 Ba 3.11-3.31
Ni 0.7914 0.7914 0.9586  6 Ba 3.11-3.31
Ni 0.9586 0.9586 0.7914  6 Ba 3.11-3.31
I 0.1334 0.1334 0.6166  6 Ba 3.55-3.69
I 0.2980 0.2980 0.4520  6 Ba 3.63-3.77
I 0.3834 0.3834 0.8666  6 Ba 3.55-3.69
I 0.4520 0.4520 0.2980  6 Ba 3.63-3.77
I 0.5480 0.5480 0.7020  6 Ba 3.63-3.77
I 0.6166 0.6166 0.1334  6 Ba 3.55-3.69
I 0.7020 0.7020 0.5480  6 Ba 3.63-3.77
I 0.8666 0.8666 0.3834  6 Ba 3.55-3.69

***

2.
## TaAl4P (GGA-PBE)

Data for crystalline TaAl4P at its relaxed geometry.

Results
Total energy = -31.8 eV for the cell shown
SG = F-43m, No. 216
Calculated formation energy = 76 meV per atom
Total magnetic moment = 0.00 μB per cell
Crystal system = cubic

Cell: 5.1296 5.1296 5.1296 Å, 60.00 60.00 60.00°
Last column: nearest neighbours and their distance in Å.
Fractional positions:
Ta 0.0000 0.0000 0.0000  12 Al 3.01, 4 P 3.14
Al 0.1221 0.6260 0.6260  6 Al 2.55-2.58
Al 0.6260 0.1221 0.6260  6 Al 2.55-2.58
Al 0.6260 0.6260 0.1221  6 Al 2.55-2.58
Al 0.6260 0.6260 0.6260  6 Al 2.55-2.58
P 0.2500 0.2500 0.2500  12 Al 3.01, 4 Ta 3.14

***

3.
## MnHgSe (GGA-PBE)

Data for crystalline MnHgSe at its relaxed geometry.

Results
Total energy = -25.4 eV for the cell shown
SG = P2/m, No. 10
E above lowest polymorph = 248 meV/atom
Total magnetic moment = 0.00 μB per cell
Crystal system = monoclinic
Energy relative to the elements, uncorrected = 0.093 eV per atom

Cell: 6.3930 3.0626 6.6827 Å, 90.00 100.39 90.00°
Last column: nearest neighbours and their distance in Å.
Fractional positions:
Mn 0.1507 0.0000 0.0426  1 Mn 1.91
Mn 0.8493 0.0000 0.9574  1 Mn 1.91
Hg 0.3128 0.5000 0.7673  2 Mn 2.74, 2 Se 2.95-3.03, 2 Hg 3.06
Hg 0.6872 0.5000 0.2327  2 Mn 2.74, 2 Se 2.95-3.03, 2 Hg 3.06
Se 0.2470 0.5000 0.3071  2 Mn 2.34
Se 0.7530 0.5000 0.6929  2 Mn 2.34

***

4.
## RbRhWN2 (GGA-PBE)

Data for crystalline RbRhWN2 at its relaxed geometry.

Results
Total energy = -19.8 eV for the cell shown
SG = P4/mmm, No. 123
Total magnetic moment = 0.00 μB per cell
Crystal system = tetragonal
Energy relative to the elements, uncorrected = 3.620 eV per atom

Cell: 4.1092 4.1092 4.9707 Å, 90.00 90.00 90.00°
Last column: nearest neighbours and their distance in Å.
Fractional positions:
Rb 0.0000 0.0000 0.0000  4 N 2.05
Rh 0.0000 0.0000 0.5000  2 Rb 2.49
W 0.5000 0.5000 0.5000  4 Rh 2.91, 8 N 3.22
N 0.0000 0.5000 0.0000  2 Rb 2.05
N 0.5000 0.0000 0.0000  2 Rb 2.05

***

5.
## Hf4GaRh (GGA-PBE)

Data for crystalline Hf4GaRh at its relaxed geometry.

Results
Total energy = -98.1 eV for the cell shown
SG = I4_1md, No. 109
E above lowest polymorph = 673 meV/atom
Calculated formation energy = 190 meV per atom
Total magnetic moment = 0.00 μB per cell
Crystal system = tetragonal

Cell: 7.2170 7.2170 7.2170 Å, 108.18 108.18 112.09°
Last column: nearest neighbours and their distance in Å.
Fractional positions:
Hf 0.1916 0.0000 0.1916  1 Rh 2.57, 2 Ga 2.61-2.64
Hf 0.2415 0.5380 0.2966  2 Rh 2.51-2.62, 1 Ga 2.65
Hf 0.2415 0.9449 0.7034  2 Rh 2.51-2.62, 1 Ga 2.65
Hf 0.2880 0.4915 0.7966  2 Rh 2.51-2.62, 1 Ga 2.65
Hf 0.6949 0.4915 0.2034  2 Rh 2.51-2.62, 1 Ga 2.65
Hf 0.7500 0.0584 0.3084  1 Rh 2.57, 2 Ga 2.61-2.64
Hf 0.7500 0.4416 0.6916  1 Rh 2.57, 2 Ga 2.61-2.64
Hf 0.8084 0.0000 0.8084  1 Rh 2.57, 2 Ga 2.61-2.64
Ga 0.4909 0.9909 0.5000  6 Hf 2.61-2.65
Ga 0.7409 0.7409 0.0000  6 Hf 2.61-2.65
Rh 0.2470 0.2470 0.0000  6 Hf 2.51-2.62
Rh 0.9970 0.4970 0.5000  6 Hf 2.51-2.62

***

6.
## TmVN (GGA-PBE)

Data for crystalline TmVN at its relaxed geometry.

Results
Total energy = -93.1 eV for the cell shown
SG = Fddd, No. 70
E above lowest polymorph = 0 meV/atom
Total magnetic moment = 0.00 μB per cell
Crystal system = orthorhombic
Energy relative to the elements, uncorrected = -0.457 eV per atom

Cell: 6.9546 6.3047 5.6605 Å, 70.84 58.91 50.25°
Last column: nearest neighbours and their distance in Å.
Fractional positions:
Tm 0.0000 0.0000 0.0000  2 N 2.41
Tm 0.0000 0.0000 0.5000  2 N 2.41
Tm 0.0000 0.5000 0.0000  2 N 2.41
Tm 0.5000 0.0000 0.0000  2 N 2.41
V 0.2521 0.2521 0.4979  2 N 2.03
V 0.4979 0.4979 0.2521  2 N 2.03
V 0.5021 0.5021 0.7479  2 N 2.03
V 0.7479 0.7479 0.5021  2 N 2.03
N 0.2023 0.5478 0.2023  2 V 2.03
N 0.4522 0.7978 0.4522  2 V 2.03
N 0.5478 0.2023 0.5478  2 V 2.03
N 0.7978 0.4522 0.7978  2 V 2.03

***

7.
## CePm2Os2 (GGA-PBE)

Data for crystalline CePm2Os2 at its relaxed geometry.

Results
Total energy = -77.5 eV for the cell shown
SG = C2/c, No. 15
E above lowest polymorph = 16 meV/atom
Calculated formation energy = -168 meV per atom
Total magnetic moment = 0.00 μB per cell
Crystal system = monoclinic

Cell: 5.8746 5.8746 8.1610 Å, 100.10 100.10 61.00°
Last column: nearest neighbours and their distance in Å.
Fractional positions:
Ce 0.1304 0.8696 0.7500  4 Os 2.63-2.81
Ce 0.8696 0.1304 0.2500  4 Os 2.63-2.81
Pm 0.2157 0.4842 0.3495  6 Os 3.13-3.26, 2 Ce 3.47-3.50
Pm 0.4842 0.2157 0.8495  6 Os 3.13-3.26, 2 Ce 3.47-3.50
Pm 0.5158 0.7843 0.1505  6 Os 3.13-3.26, 2 Ce 3.47-3.50
Pm 0.7843 0.5158 0.6505  6 Os 3.13-3.26, 2 Ce 3.47-3.50
Os 0.0016 0.7219 0.9893  2 Ce 2.63-2.81, 1 Os 2.65
Os 0.2781 0.9984 0.5107  2 Ce 2.63-2.81, 1 Os 2.65
Os 0.7219 0.0016 0.4893  2 Ce 2.63-2.81, 1 Os 2.65
Os 0.9984 0.2781 0.0107  2 Ce 2.63-2.81, 1 Os 2.65

***

8.
## Ti7InGa4 (GGA-PBE)

Data for crystalline Ti7InGa4 at its relaxed geometry.

Results
Total energy = -70.4 eV for the cell shown
SG = C2/m, No. 12
Calculated formation energy = -27 meV per atom
Total magnetic moment = 2.57 μB per cell
Crystal system = monoclinic

Cell: 5.7378 5.7378 9.7598 Å, 117.67 117.67 52.14°
Last column: nearest neighbours and their distance in Å.
Fractional positions:
Ti 0.0000 0.0000 0.0000  2 In 2.52, 2 Ti 2.56, 4 Ga 2.67-2.82
Ti 0.1529 0.1529 0.5634  4 Ga 2.58-2.78, 1 Ti 2.73
Ti 0.2836 0.2836 0.0987  2 Ti 2.56, 4 Ga 2.66-2.86, 1 In 2.85
Ti 0.4714 0.4714 0.6280  2 Ti 2.56-2.85, 3 Ga 2.72-2.82
Ti 0.5286 0.5286 0.3720  2 Ti 2.56-2.85, 3 Ga 2.72-2.82
Ti 0.7164 0.7164 0.9013  2 Ti 2.56, 4 Ga 2.66-2.86, 1 In 2.85
Ti 0.8471 0.8471 0.4366  4 Ga 2.58-2.78, 1 Ti 2.73
In 0.5000 0.5000 0.0000  2 Ti 2.52
Ga 0.0735 0.0735 0.7749  7 Ti 2.58-2.86, 1 Ga 2.64
Ga 0.2197 0.2197 0.3297  1 Ga 2.64, 6 Ti 2.66-2.82
Ga 0.7803 0.7803 0.6703  1 Ga 2.64, 6 Ti 2.66-2.82
Ga 0.9265 0.9265 0.2251  7 Ti 2.58-2.86, 1 Ga 2.64

***

9.
## PaTl4 (GGA-PBE)

Data for crystalline PaTl4 at its relaxed geometry.

Results
Total energy = -14.9 eV for the cell shown
SG = Pm-3m, No. 221
Calculated formation energy = 805 meV per atom
Total magnetic moment = 1.32 μB per cell
Crystal system = cubic

Cell: 6.0151 6.0151 6.0151 Å, 90.00 90.00 90.00°
Last column: nearest neighbours and their distance in Å.
Fractional positions:
Pa 0.0000 0.0000 0.0000  6 Tl 3.01
Tl 0.0000 0.0000 0.5000  2 Pa 3.01
Tl 0.0000 0.5000 0.0000  2 Pa 3.01
Tl 0.5000 0.0000 0.0000  2 Pa 3.01
Tl 0.5000 0.5000 0.5000  12 Tl 4.25

***

10.
## Pm2ZrCd (GGA-PBE)

Data for crystalline Pm2ZrCd at its relaxed geometry.

Results
Total energy = -17.9 eV for the cell shown
SG = R-3m, No. 166
E above lowest polymorph = 346 meV/atom
Calculated formation energy = 269 meV per atom
Total magnetic moment = 0.00 μB per cell
Crystal system = trigonal

Cell: 12.1853 12.1853 12.1853 Å, 15.52 15.52 15.52°
Last column: nearest neighbours and their distance in Å.
Fractional positions:
Pm 0.0891 0.0891 0.0891  1 Zr 3.22, 6 Pm 3.29, 3 Cd 3.38
Pm 0.9109 0.9109 0.9109  1 Zr 3.22, 6 Pm 3.29, 3 Cd 3.38
Zr 0.0000 0.0000 0.0000  2 Pm 3.22, 6 Zr 3.29
Cd 0.5000 0.5000 0.5000  6 Cd 3.29, 6 Pm 3.38

***

11.
## Nb2Ge2Br (GGA-PBE)

Data for crystalline Nb2Ge2Br at its relaxed geometry.

Results
Total energy = -29.9 eV for the cell shown
SG = I4/mmm, No. 139
E above lowest polymorph = 17 meV/atom
Total magnetic moment = 0.00 μB per cell
Crystal system = tetragonal
Energy relative to the elements, uncorrected = 0.223 eV per atom

Cell: 5.6522 5.6522 5.6522 Å, 129.58 129.58 74.08°
Last column: nearest neighbours and their distance in Å.
Fractional positions:
Nb 0.2500 0.7500 0.5000  4 Ge 2.62
Nb 0.7500 0.2500 0.5000  4 Ge 2.62
Ge 0.1355 0.1355 0.0000  1 Ge 2.45, 4 Nb 2.62
Ge 0.8645 0.8645 0.0000  1 Ge 2.45, 4 Nb 2.62
Br 0.5000 0.5000 0.0000  10 Ge 3.29-3.62, 8 Nb 3.30

***

12.
## PmSm6Zn2 (GGA-PBE)

Data for crystalline PmSm6Zn2 at its relaxed geometry.

Results
Total energy = -36.8 eV for the cell shown
SG = C2/m, No. 12
Calculated formation energy = -136 meV per atom
Total magnetic moment = 0.00 μB per cell
Crystal system = monoclinic

Cell: 6.6049 6.6049 12.0046 Å, 108.38 108.38 32.61°
Last column: nearest neighbours and their distance in Å.
Fractional positions:
Pm 0.0000 0.0000 0.0000  4 Zn 3.15
Sm 0.0249 0.0249 0.3301  2 Zn 3.11, 1 Sm 3.44
Sm 0.3100 0.3100 0.1252  2 Zn 3.14, 3 Sm 3.41-3.43
Sm 0.3117 0.3117 0.4100  2 Zn 3.24, 4 Sm 3.41-3.58
Sm 0.6883 0.6883 0.5900  2 Zn 3.24, 4 Sm 3.41-3.58
Sm 0.6899 0.6899 0.8748  2 Zn 3.14, 3 Sm 3.41-3.43
Sm 0.9751 0.9751 0.6699  2 Zn 3.11, 1 Sm 3.44
Zn 0.3521 0.3521 0.7957  6 Sm 3.11-3.24, 2 Pm 3.15
Zn 0.6479 0.6479 0.2043  6 Sm 3.11-3.24, 2 Pm 3.15